Record 1
Compound: Rb2SrAu2
Source: Alexandria
Functional: GGA-PBE
Structure: relaxed

Cell: 4.901 4.901 8.466 Å, 73.17 73.17 90.00°
Positions (direct):
Rb (0.250, 0.750, 0.500)
Rb (0.750, 0.250, 0.500)
Sr (0.000, 0.000, 0.000)
Au (0.588, 0.588, 0.823)
Au (0.412, 0.412, 0.177)

**Space group**: No. 139
**DFT formation energy**: -206 meV per atom
**Energy above the most stable polymorph in this dataset**: 0.45 eV per formula unit
**Crystal system**: tetragonal

Record 2
Compound: La5As4Se
Source: Alexandria
Functional: GGA-PBE
Structure: relaxed

Cell: 4.366 6.167 11.552 Å, 105.48 100.89 90.00°
Positions (direct):
La (0.800, 0.300, 0.600)
As (0.599, 0.599, 0.198)
As (0.200, 0.200, 0.399)
La (0.397, 0.897, 0.793)
As (0.800, 0.800, 0.601)
La (0.603, 0.103, 0.207)
Se (0.000, 0.000, 0.000)
As (0.401, 0.401, 0.802)
La (0.200, 0.700, 0.400)
La (0.000, 0.500, 0.000)

**Space group**: No. 71
**Energy above the most stable polymorph in this dataset**: 0.00 eV per formula unit
**Crystal system**: orthorhombic
**E_form (uncorrected)**: -164 kJ/mol of atoms

Record 3
Compound: U3AsP2
Source: Alexandria
Functional: GGA-PBE
Structure: relaxed

Cell: 3.990 3.990 8.909 Å, 102.94 102.94 90.00°
Positions (direct):
U (0.264, 0.265, 0.534)
U (0.934, 0.936, 0.874)
P (0.100, 0.101, 0.205)
As (0.434, 0.436, 0.874)
U (0.604, 0.606, 0.214)
P (0.769, 0.770, 0.543)

**Space group**: No. 139
**DFT formation energy**: -868 meV per atom
**Energy above the most stable polymorph in this dataset**: 0.00 eV per formula unit
**Crystal system**: tetragonal

Record 4
Compound: Hf2NbPS
Source: Alexandria
Functional: GGA-PBE
Structure: relaxed

Cell: 4.911 4.364 4.911 Å, 90.00 90.00 90.00°
Positions (direct):
Hf (0.500, 0.000, 0.000)
P (0.000, 0.000, 0.000)
Hf (0.000, 0.000, 0.500)
Nb (0.500, 0.500, 0.500)
S (0.000, 0.500, 0.000)

**Space group**: No. 123
**Crystal system**: tetragonal
**E_form (uncorrected)**: 45 kJ/mol of atoms

Question: Number 1 is which compound?
Answer: Rb2SrAu2